Na2Pr2I7 after structural relaxation, computed with PBE.

The structure in CIF format:
```
data_Na2Pr2I7
_cell_length_a 8.059
_cell_length_b 13.256
_cell_length_c 13.067
_cell_angle_alpha 90.00
_cell_angle_beta 99.53
_cell_angle_gamma 90.00
_symmetry_space_group_name_H-M 'C 1 2/m 1'
_symmetry_Int_Tables_number 12
loop_
_symmetry_equiv_pos_as_xyz
'x,y,z'
'-x,-y,-z'
'-x,y,-z'
'x,-y,z'
'x+1/2,y+1/2,z'
'-x+1/2,-y+1/2,-z'
'-x+1/2,y+1/2,-z'
'x+1/2,-y+1/2,z'
loop_
_atom_site_label
_atom_site_type_symbol
_atom_site_fract_x
_atom_site_fract_y
_atom_site_fract_z
Na1 Na 0.209 0.000 0.202
Pr1 Pr 0.000 0.352 0.500
I1 I 0.000 0.000 0.000
I2 I 0.089 0.500 0.326
I3 I 0.137 0.173 0.364
```

Calculated values
magnetization = 2.04 μB/cell
E_tot = -3.338 eV per atom